[1]
Compound: LiBeHg3
Source: Alexandria via LeMat-Bulk
Functional: PBE
Structure: relaxed

The value obtained for the relative energy among the computed polymorphs is 0.4889 eV per atom. The value obtained for the formation enthalpy at 0 K is 0.567 eV/atom. For the electronic total energy, the calculation gives -0.74 eV/atom.

Cell and atoms, written as POSCAR:
```
LiBeHg3
1.0
5.0435 0.0000 0.0000
0.0000 5.0435 0.0000
0.0000 0.0000 5.0435
Li Be Hg
1 1 3
direct
0.0000 0.0000 0.0000
0.5000 0.5000 0.5000
0.0000 0.0000 0.5000
0.0000 0.5000 0.0000
0.5000 0.0000 0.0000
```

[2]
Compound: Li2BeHg
Source: Alexandria via LeMat-Bulk
Functional: PBE
Structure: relaxed

The value obtained for the relative energy among the computed polymorphs is 0.1145 eV per atom. The value obtained for the formation enthalpy at 0 K is 0.049 eV/atom. For the electronic total energy, the calculation gives -1.92 eV/atom.

Cell and atoms, written as POSCAR:
```
Li2BeHg
1.0
6.1438 0.0000 0.0000
0.0000 6.1438 0.0000
0.0000 0.0000 6.1438
Li Be Hg
8 4 4
direct
0.2500 0.2500 0.2500
0.2500 0.2500 0.7500
0.2500 0.7500 0.2500
0.2500 0.7500 0.7500
0.7500 0.2500 0.2500
0.7500 0.2500 0.7500
0.7500 0.7500 0.2500
0.7500 0.7500 0.7500
0.0000 0.0000 0.0000
0.0000 0.5000 0.5000
0.5000 0.0000 0.5000
0.5000 0.5000 0.0000
0.0000 0.0000 0.5000
0.0000 0.5000 0.0000
0.5000 0.0000 0.0000
0.5000 0.5000 0.5000
```

[3]
Compound: LiLuBeHg
Source: Alexandria via LeMat-Bulk
Functional: PBE
Structure: relaxed

The value obtained for the formation enthalpy at 0 K is -0.113 eV/atom. For the electronic total energy, the calculation gives -2.73 eV/atom.

Cell and atoms, written as POSCAR:
```
LiLuBeHg
1.0
6.4289 0.0000 0.0000
0.0000 6.4289 0.0000
0.0000 0.0000 6.4289
Li Lu Be Hg
4 4 4 4
direct
0.0000 0.0000 0.0000
0.0000 0.5000 0.5000
0.5000 0.0000 0.5000
0.5000 0.5000 0.0000
0.2500 0.2500 0.7500
0.2500 0.7500 0.2500
0.7500 0.2500 0.2500
0.7500 0.7500 0.7500
0.0000 0.0000 0.5000
0.0000 0.5000 0.0000
0.5000 0.0000 0.0000
0.5000 0.5000 0.5000
0.2500 0.2500 0.2500
0.2500 0.7500 0.7500
0.7500 0.2500 0.7500
0.7500 0.7500 0.2500
```

[4]
Compound: LiBe2HgO
Source: Alexandria via LeMat-Bulk
Functional: PBE
Structure: relaxed

For the electronic total energy, the calculation gives -1.69 eV/atom.

Cell and atoms, written as POSCAR:
```
LiBe2HgO
1.0
4.1699 0.0000 0.0000
0.0000 4.1699 0.0000
0.0000 0.0000 4.5618
Li Be Hg O
1 2 1 1
direct
0.0000 0.0000 0.0000
0.0000 0.5000 0.0000
0.5000 0.0000 0.0000
0.0000 0.0000 0.5000
0.5000 0.5000 0.5000
```

Copy entry 1 word for word.
Compound: LiBeHg3
Source: Alexandria via LeMat-Bulk
Functional: PBE
Structure: relaxed

The value obtained for the relative energy among the computed polymorphs is 0.4889 eV per atom. The value obtained for the formation enthalpy at 0 K is 0.567 eV/atom. For the electronic total energy, the calculation gives -0.74 eV/atom.

Cell and atoms, written as POSCAR:
```
LiBeHg3
1.0
5.0435 0.0000 0.0000
0.0000 5.0435 0.0000
0.0000 0.0000 5.0435
Li Be Hg
1 1 3
direct
0.0000 0.0000 0.0000
0.5000 0.5000 0.5000
0.0000 0.0000 0.5000
0.0000 0.5000 0.0000
0.5000 0.0000 0.0000
```

Q: Which of these has the lowest electronic total energy?
A: LiLuBeHg

Please write out number 3 again, unchanged.
Compound: LiLuBeHg
Source: Alexandria via LeMat-Bulk
Functional: PBE
Structure: relaxed

The value obtained for the formation enthalpy at 0 K is -0.113 eV/atom. For the electronic total energy, the calculation gives -2.73 eV/atom.

Cell and atoms, written as POSCAR:
```
LiLuBeHg
1.0
6.4289 0.0000 0.0000
0.0000 6.4289 0.0000
0.0000 0.0000 6.4289
Li Lu Be Hg
4 4 4 4
direct
0.0000 0.0000 0.0000
0.0000 0.5000 0.5000
0.5000 0.0000 0.5000
0.5000 0.5000 0.0000
0.2500 0.2500 0.7500
0.2500 0.7500 0.2500
0.7500 0.2500 0.2500
0.7500 0.7500 0.7500
0.0000 0.0000 0.5000
0.0000 0.5000 0.0000
0.5000 0.0000 0.0000
0.5000 0.5000 0.5000
0.2500 0.2500 0.2500
0.2500 0.7500 0.7500
0.7500 0.2500 0.7500
0.7500 0.7500 0.2500
```